Density functional theory data (PBE-GGA) for crystalline KTa2Re at its relaxed geometry. Values from VASP.

Summary:
- E: -8.56 eV/atom
- Mass density: 9.576 g/cm³
- Energy relative to the lowest polymorph listed for this composition: 168 meV/atom
- Calculated formation energy: 0.7510 eV/atom
- D(E_F): 3.14 states/eV/cell

Cell and atoms, written as Quantum ESPRESSO input:
```
&SYSTEM
  ibrav = 0, nat = 4, ntyp = 3
/
ATOMIC_SPECIES
K 39.10 K.upf
Ta 180.95 Ta.upf
Re 186.21 Re.upf
ATOMIC_POSITIONS angstrom
K 0.000 0.000 0.000
Ta 0.000 0.000 3.723
Ta 1.573 2.012 5.098
Re 1.573 2.012 2.725
CELL_PARAMETERS angstrom
3.146 0.000 0.000
0.000 4.023 0.000
0.000 0.000 8.044
```

Density functional theory data (PBE-GGA) for crystalline In2Sb2S at its relaxed geometry. Values from VASP.

Summary:
- Raw formation energy: 1.4 eV/f.u.
- E: -3.29 eV/atom
- Mass density: 6.252 g/cm³
- Energy relative to the lowest polymorph listed for this composition: 177 meV/atom
- D(E_F): 2.57 states/eV/cell

Cell and atoms, written as Quantum ESPRESSO input:
```
&SYSTEM
  ibrav = 0, nat = 5, ntyp = 3
/
ATOMIC_SPECIES
In 114.82 In.upf
Sb 121.76 Sb.upf
S 32.06 S.upf
ATOMIC_POSITIONS angstrom
In 2.112 0.000 3.760
In 0.000 2.112 3.760
Sb 0.000 0.000 1.488
Sb 0.000 0.000 13.554
S 0.000 0.000 7.521
CELL_PARAMETERS angstrom
-2.112 2.112 7.521
2.112 -2.112 7.521
2.112 2.112 -7.521
```

Density functional theory data (PBE-GGA) for crystalline Na2SiBr6 at its relaxed geometry. Values from VASP.

Summary:
- Raw formation energy: -8.5 eV/f.u.
- E: -2.95 eV/atom
- Mass density: 3.322 g/cm³
- D(E_F): 0.00 states/eV/cell

Cell and atoms, written as Quantum ESPRESSO input:
```
&SYSTEM
  ibrav = 0, nat = 18, ntyp = 3
/
ATOMIC_SPECIES
Na 22.99 Na.upf
Si 28.09 Si.upf
Br 79.90 Br.upf
ATOMIC_POSITIONS angstrom
Na 0.000 0.000 2.039
Na 0.000 0.000 10.359
Na 3.340 3.340 4.160
Na 3.340 3.340 8.237
Si 0.000 0.000 6.199
Si 3.340 3.340 0.000
Br 1.197 1.197 4.455
Br 1.197 1.197 7.942
Br 1.605 1.605 0.000
Br 1.736 4.945 6.199
Br 2.143 4.538 1.743
Br 2.143 4.538 10.654
Br 4.538 2.143 1.743
Br 4.538 2.143 10.654
Br 4.945 1.736 6.199
Br 5.076 5.076 0.000
Br 5.484 5.484 4.455
Br 5.484 5.484 7.942
CELL_PARAMETERS angstrom
6.681 0.000 0.000
0.000 6.681 0.000
0.000 0.000 12.398
```

Density functional theory data (PBE-GGA) for crystalline Rb2PmTlF6 at its relaxed geometry. Values from VASP.

Summary:
- Raw formation energy: -30.9 eV/f.u.
- E: -5.12 eV/atom
- Mass density: 4.690 g/cm³
- D(E_F): 0.00 states/eV/cell

Cell and atoms, written as Quantum ESPRESSO input:
```
&SYSTEM
  ibrav = 0, nat = 20, ntyp = 4
/
ATOMIC_SPECIES
Rb 85.47 Rb.upf
Pm 145.00 Pm.upf
Tl 204.38 Tl.upf
F 19.00 F.upf
ATOMIC_POSITIONS angstrom
Rb -0.081 0.338 2.352
Rb -3.380 3.147 7.144
Rb 3.506 3.822 2.440
Rb 0.207 6.631 7.233
Pm 3.362 0.000 0.000
Pm 0.063 3.484 4.792
Tl -3.299 0.000 4.792
Tl 0.000 3.484 0.000
F -5.076 1.250 9.120
F -1.776 2.234 4.328
F -4.400 5.135 8.892
F -1.101 5.318 4.100
F -2.504 0.408 7.467
F 0.795 3.076 2.675
F -0.669 3.893 6.910
F 2.630 6.560 2.118
F 1.227 1.650 5.485
F 4.527 1.834 0.693
F 1.903 4.734 5.256
F 5.202 5.719 0.464
CELL_PARAMETERS angstrom
6.724 0.000 0.000
0.000 6.969 0.000
-6.598 0.000 9.585
```

Density functional theory data (PBE-GGA) for crystalline HfScCO at its relaxed geometry. Values from VASP.

Summary:
- Raw formation energy: -7.5 eV/f.u.
- E: -9.49 eV/atom
- Mass density: 8.556 g/cm³
- D(E_F): 1.30 states/eV/cell

Cell and atoms, written as Quantum ESPRESSO input:
```
&SYSTEM
  ibrav = 0, nat = 4, ntyp = 4
/
ATOMIC_SPECIES
Hf 178.49 Hf.upf
Sc 44.96 Sc.upf
C 12.01 C.upf
O 16.00 O.upf
ATOMIC_POSITIONS angstrom
Hf 0.000 0.000 0.000
Sc 0.000 0.000 7.857
C 0.000 0.000 11.921
O 0.000 0.000 3.958
CELL_PARAMETERS angstrom
1.623 0.937 5.351
-1.623 0.937 5.351
0.000 -1.874 5.351
```

Density functional theory data (PBE-GGA) for crystalline TbSc4S5 at its relaxed geometry. Values from VASP.

Summary:
- Raw formation energy: -18.8 eV/f.u.
- E: -6.94 eV/atom
- Mass density: 4.466 g/cm³
- D(E_F): 5.43 states/eV/cell

Cell and atoms, written as Quantum ESPRESSO input:
```
&SYSTEM
  ibrav = 0, nat = 10, ntyp = 3
/
ATOMIC_SPECIES
Tb 158.93 Tb.upf
Sc 44.96 Sc.upf
S 32.06 S.upf
ATOMIC_POSITIONS angstrom
Tb 0.000 0.000 0.000
Sc 0.000 0.000 3.808
Sc 0.000 0.000 7.490
Sc 0.000 0.000 11.254
Sc 0.000 0.000 14.937
S 1.867 0.000 2.004
S 1.867 0.000 5.643
S 0.000 2.652 0.000
S 0.000 2.652 3.730
S 0.000 2.652 7.368
CELL_PARAMETERS angstrom
-1.867 2.652 9.372
1.867 -2.652 9.372
1.867 2.652 -9.372
```